VASP calculation (GGA-PBE) on a relaxed AcTmZn2 crystal.

Unit cell a=3.7742 b=3.7742 c=9.3521 alpha=78.36 beta=78.36 gamma=60.00
Last column: nearest neighbours and their distance in Å.
Positions (direct):
1 Ac 0.5000 0.5000 0.5000  6 Zn 3.32
2 Zn 0.7414 0.7414 0.7757  3 Tm 2.98, 3 Ac 3.32
3 Zn 0.2586 0.2586 0.2243  3 Tm 2.98, 3 Ac 3.32
4 Tm 0.0000 0.0000 0.0000  6 Zn 2.98

Its energy of formation from the pure elements is -0.052 eV/atom. The value obtained for the theoretical density is 7.80 g cm⁻³. As for the space group: R-3m, No. 166.